NiPdAuF2 | PBE with a Hubbard U | relaxed

The space group is P4/mmm (123). For the total DFT energy (no corrections), the calculation gives -15.94 eV for the cell shown.

Cell: 4.036 5.443 4.036 Å, 90.00 90.00 90.00°
Site moments in Bohr magnetons follow the coordinates.
Positions (direct):
F 0.500 0.000 0.000  0.00
F 0.000 0.000 0.500  0.00
Pd 0.000 0.000 0.000  0.00
Au 0.000 0.500 0.000  0.00
Ni 0.500 0.500 0.500  0.97